Entry from the Alexandria database: a crystal of CoTe2Pd relaxed with PBEsol (meta-GGA SCAN).

## Properties
density of states at the Fermi level	3.3	states/eV/f.u.
density	7.4	g cm⁻³
formation energy from raw total energies	-0.02	eV/atom

abc: 5.7691 5.7691 7.0086
angles: 114.30 114.30 90.00
With the nearest neighbours (Å) after each atom.
Atoms (fractional coordinates):
Co: 0.5000 0.5000 0.0000  4 Te 2.39
Co: 0.7500 0.2500 0.5000  4 Te 2.39
Te: 0.4054 0.8750 0.2500  2 Co 2.39, 2 Pd 2.59
Te: 0.8446 0.3750 0.2500  2 Co 2.39, 2 Pd 2.59
Te: 0.1250 0.1554 0.7500  2 Co 2.39, 2 Pd 2.59
Te: 0.6250 0.5946 0.7500  2 Co 2.39, 2 Pd 2.59
Pd: 0.2500 0.7500 0.5000  4 Te 2.59
Pd: 0.0000 0.0000 0.0000  4 Te 2.59